# 1
Below is a relaxed structure of TbSm2TlC, with properties calculated at the PBE-GGA level.

Calculated values
Energy relative to the elements = -0.3689 eV per atom
Size of the total moment = 0.00 μB per cell

a = 5.058 Å, b = 5.058 Å, c = 4.957 Å
α = 90.00°, β = 90.00°, γ = 90.00°
Space group P4/mmm (No. 123)
One atom of each set of equivalent atoms:
1 Tb 0.000 0.000 0.000 [1 per cell]
2 Sm 0.000 0.500 0.500 [2 per cell]
3 Tl 0.500 0.500 0.000 [1 per cell]
4 C 0.000 0.000 0.500 [1 per cell]

---

# 2
Below is a relaxed structure of Sm3Tc4C4, with properties calculated at the PBE-GGA level.

Calculated values
Energy relative to the elements = 0.2139 eV per atom
Size of the total moment = 0.00 μB per cell

a = 3.247 Å, b = 7.627 Å, c = 12.526 Å
α = 90.00°, β = 90.00°, γ = 90.00°
Space group Immm (No. 71)
One atom of each set of equivalent atoms:
1 Sm 0.000 0.000 0.000 [2 per cell]
2 Sm 0.000 0.500 0.108 [4 per cell]
3 Tc 0.000 0.320 0.327 [8 per cell]
4 C 0.000 0.000 0.216 [4 per cell]
5 C 0.000 0.229 0.500 [4 per cell]